! Ta3PdPb | Alexandria | PBE | optimized geometry; values from VASP
&SYSTEM
  ibrav = 0, nat = 5, ntyp = 3
/
ATOMIC_SPECIES
Pb 207.20 Pb.upf
Pd 106.42 Pd.upf
Ta 180.95 Ta.upf
ATOMIC_POSITIONS crystal
Pb 0.500 0.500 0.500
Pd 0.000 0.000 0.000
Ta 0.000 0.500 0.000
Ta 0.000 0.000 0.500
Ta 0.500 0.000 0.000
CELL_PARAMETERS angstrom
-0.710 -3.679 -3.124
3.640 -2.482 2.096
-3.170 -2.026 3.106
! N(E_F) (states/eV/cell): 5.19
! Magnetic moment (μB per atom): 0.0000
! Space-group type: Pm-3m, No. 221
! Total DFT energy (no corrections) (eV/cell): -38.2
! Polymorph energy (0 for the lowest one) (eV per atom): 0.000